Material: AlCuPb
Method: DFT, PBE
State: relaxed

Properties
The magnetization is 0.000 μB/cell. The value obtained for the theoretical density is 7.46 g cm⁻³. The calculation puts the energy of formation at -0.01 eV/atom.

a b c (Å): 4.0936 4.0936 27.3904
angles (deg): 90.00 90.00 120.00
Closest atoms and distances in Å follow each position.
Space group R3m (No. 160, hexagonal axes)
Symmetry-distinct sites (fractional):
Al: 0.0000 0.0000 0.0000 x3  6 Cu 2.45-2.49
Al: 0.0000 0.0000 0.4010 x3  4 Cu 2.50-2.59
Cu: 0.0000 0.0000 0.3098 x3  4 Al 2.45-2.50
Cu: 0.0000 0.0000 0.6954 x3  6 Al 2.49-2.59, 3 Cu 2.76
Pb: 0.0000 0.0000 0.5813 x3  4 Cu 2.91-3.12
Pb: 0.0000 0.0000 0.8032 x3  1 Cu 2.95, 3 Al 3.02